Record 1
Material: Ca2ScMn
Method: DFT, GGA-PBE
State: relaxed

Lattice parameters (Å, degrees): 3.5702 3.5484 9.6648 68.37 90.00 90.00
Closest atoms and distances in Å follow each position.
Sites, in units of the cell vectors:
Ca 0.5000 0.1897 0.3107  4 Mn 3.23, 1 Sc 3.35, 4 Ca 3.55-3.57
Ca 0.0000 0.0293 0.9696  8 Ca 3.55-3.97, 4 Sc 3.59, 1 Mn 3.90
Sc 0.5000 0.8160 0.6840  4 Mn 2.85
Mn 0.0000 0.4650 0.5357  4 Sc 2.85

V   28.45 A^3/atom
Size of the total moment   2.9 μB per formula unit
Space group   Pm
Crystal system   monoclinic
Total energy   -4.6806 eV per atom
Formation enthalpy at 0 K   195.5 meV per atom
Energy above the lowest structure with this stoichiometry   0.0 meV per atom
Theoretical density   2.63 g cm⁻³
Density of states at the Fermi level   4.39 states/eV/f.u.

---

Record 2
Material: Sr2Ga3SnIr4
Method: DFT, GGA-PBE
State: relaxed

Lattice parameters (Å, degrees): 4.4087 4.4087 10.4816 90.00 90.00 90.00
Closest atoms and distances in Å follow each position.
Sites, in units of the cell vectors:
Ir 0.0000 0.5000 0.3640  3 Ga 2.57-2.63, 2 Sn 2.63
Ir 0.5000 0.0000 0.6360  3 Ga 2.57-2.63, 2 Sn 2.63
Ir 0.0000 0.0000 0.0000  4 Ga 2.53
Ir 0.5000 0.5000 0.0000  4 Ga 2.53
Ga 0.0000 0.0000 0.5000  4 Ir 2.63
Ga 0.5000 0.0000 0.8811  5 Ir 2.53-2.57
Ga 0.0000 0.5000 0.1189  5 Ir 2.53-2.57
Sr 0.5000 0.0000 0.2329  8 Ir 3.29-3.41, 6 Ga 3.34-3.56, 2 Sn 3.56
Sr 0.0000 0.5000 0.7671  8 Ir 3.29-3.41, 6 Ga 3.34-3.56, 2 Sn 3.56
Sn 0.5000 0.5000 0.5000  4 Ir 2.63

V   20.37 A^3/atom
Size of the total moment   0.0 μB per formula unit
Space group   P-4m2
Crystal system   tetragonal
Total energy   -5.7015 eV per atom
Formation enthalpy at 0 K   -512.4 meV per atom
Theoretical density   10.37 g cm⁻³
Density of states at the Fermi level   4.43 states/eV/f.u.